CrPbCO5 GGA+U relaxed; crystal system = monoclinic; final energy = -109.6 eV/cell; size of the total moment = 4.0 Bohr magnetons per cell
1.0
3.283 -4.263 0.000
3.283 4.263 0.000
-2.846 0.000 6.328
Cr Pb C O
2 2 2 10
Direct
0.000 0.000 0.000 Cr
0.000 0.000 0.500 Cr
0.341 0.659 0.750 Pb
0.659 0.341 0.250 Pb
0.313 0.687 0.250 C
0.687 0.313 0.750 C
0.077 0.923 0.750 O
0.128 0.691 0.366 O
0.245 0.422 0.100 O
0.309 0.872 0.134 O
0.422 0.245 0.600 O
0.578 0.755 0.400 O
0.691 0.128 0.866 O
0.755 0.578 0.900 O
0.872 0.309 0.634 O
0.923 0.077 0.250 O



RbCrC2O6 GGA+U relaxed; crystal system = trigonal; final energy = -73.3 eV/cell; size of the total moment = 3.0 Bohr magnetons per cell
1.0
2.440 1.409 6.499
-2.440 1.409 6.499
0.000 -2.818 6.499
Rb Cr C O
1 1 2 6
Direct
0.000 0.000 0.000 Rb
0.500 0.500 0.500 Cr
0.224 0.224 0.224 C
0.776 0.776 0.776 C
0.062 0.538 0.723 O
0.277 0.938 0.462 O
0.462 0.277 0.938 O
0.538 0.723 0.062 O
0.723 0.062 0.538 O
0.938 0.462 0.277 O